In3Ga8Sn: relaxed, PBE-GGA.

Unit cell a=5.9349 b=5.9349 c=8.6384 alpha=90.00 beta=90.00 gamma=120.00
Space group P3m1 (No. 156)
Inequivalent atoms, fractional coordinates:
In  0.0000  0.0000  0.0000
In  0.0000  0.0000  0.3681
In  0.3333  0.6667  0.8740
Ga  0.0094  0.5047  0.1851
Ga  0.3233  0.1616  0.6836
Ga  0.6667  0.3333  0.4355
Ga  0.6667  0.3333  0.9339
Sn  0.3333  0.6667  0.5035

Calculated values
The uncorrected energy comes out at -3.00 eV per atom. The calculation puts the calculated formation energy at 0.0389 eV per atom.